The following is a DFT calculation (PBE) of a geometry-optimized La8P4S3 structure.

Unit cell a=8.415 b=8.415 c=8.422 alpha=60.10 beta=60.10 gamma=90.13
Fractional coordinates of all 15 atoms:
1 La 0.753 0.753 0.997
2 La 0.752 0.248 0.500
3 La 0.758 0.758 0.488
4 La 0.754 0.246 0.000
5 P 0.000 0.500 0.000
6 P 0.000 0.000 0.500
7 S 0.000 0.500 0.500
8 La 0.247 0.247 0.003
9 S 0.500 0.500 0.500
10 La 0.248 0.752 0.500
11 La 0.246 0.754 0.000
12 P 0.000 0.000 0.000
13 S 0.500 0.000 0.500
14 La 0.242 0.242 0.512
15 P 0.500 0.000 0.000

## Properties
Volume: 422.48 Å³/f.u.
Total magnetic moment: 0.30 μB/f.u.
Raw formation energy: -1734 meV per atom
SG: C2/m (12)

---

The following is a DFT calculation (PBE) of a geometry-optimized La2P2S structure.

Unit cell a=3.787 b=3.787 c=8.406 alpha=76.98 beta=76.98 gamma=90.00
Fractional coordinates of all 5 atoms:
1 P 0.250 0.750 0.500
2 S 0.000 0.000 0.000
3 La 0.390 0.390 0.219
4 La 0.610 0.610 0.781
5 P 0.750 0.250 0.500

## Properties
Volume: 114.28 Å³/f.u.
Total magnetic moment: 0.00 μB/f.u.
Raw formation energy: -1253 meV per atom
SG: I4/mmm (139)